No. 1
The following is a DFT calculation (PBE) of SrHg4Bi after structural relaxation.

Cell and atoms, written as POSCAR:
```
SrHg4Bi
1.0
0.000 4.413 4.413
4.413 0.000 4.413
4.413 4.413 0.000
Sr Hg Bi
1 4 1
direct
0.000 0.000 0.000
0.376 0.376 0.376
0.376 0.376 0.873
0.376 0.873 0.376
0.873 0.376 0.376
0.750 0.750 0.750
```

## Properties
Total magnetization (μB/cell): 0.0
Space-group type: F-43m
E_tot (eV/atom): -1.34
Density of states at the Fermi level (states/eV/f.u.): 2.93
Formation energy from the elements (meV/atom): -211
Energy above the most stable polymorph in this dataset (meV per atom): 72


No. 2
The following is a DFT calculation (PBE) of Sr4HgBi3 after structural relaxation.

Cell and atoms, written as POSCAR:
```
Sr4HgBi3
1.0
-2.895 2.895 8.467
2.895 -2.895 8.467
2.895 2.895 -8.467
Sr Hg Bi
4 1 3
direct
0.129 0.629 0.500
0.371 0.871 0.500
0.629 0.129 0.500
0.871 0.371 0.500
0.000 0.000 0.000
0.242 0.242 0.000
0.500 0.500 0.000
0.758 0.758 0.000
```

## Properties
Total magnetization (μB/cell): 0.0
Space-group type: I4/mmm
E_tot (eV/atom): -3.10
Density of states at the Fermi level (states/eV/f.u.): 2.94
Formation energy from the elements (meV/atom): -763


No. 3
The following is a DFT calculation (PBE) of Sr4HgBi4 after structural relaxation.

Cell and atoms, written as POSCAR:
```
Sr4HgBi4
1.0
9.901 0.000 0.000
0.000 9.901 0.000
0.000 0.000 7.113
Sr Hg Bi
8 2 8
direct
0.009 0.751 0.039
0.249 0.509 0.539
0.251 0.991 0.539
0.491 0.749 0.039
0.509 0.251 0.961
0.749 0.009 0.461
0.751 0.491 0.461
0.991 0.249 0.961
0.250 0.250 0.250
0.750 0.750 0.750
0.000 0.249 0.478
0.000 0.751 0.522
0.249 0.500 0.022
0.251 0.000 0.022
0.500 0.251 0.478
0.500 0.749 0.522
0.749 0.000 0.978
0.751 0.500 0.978
```

## Properties
Total magnetization (μB/cell): 0.0
Space-group type: P4_2/n
E_tot (eV/atom): -3.16
Density of states at the Fermi level (states/eV/f.u.): 7.42
Formation energy from the elements (meV/atom): -653


No. 4
The following is a DFT calculation (PBE) of Sr5Hg4Bi after structural relaxation.

Cell and atoms, written as POSCAR:
```
Sr5Hg4Bi
1.0
4.073 0.000 0.000
0.000 4.073 0.000
0.000 0.000 19.883
Sr Hg Bi
5 4 1
direct
0.000 0.000 0.000
0.000 0.000 0.199
0.000 0.000 0.399
0.000 0.000 0.601
0.000 0.000 0.801
0.500 0.500 0.098
0.500 0.500 0.297
0.500 0.500 0.703
0.500 0.500 0.902
0.500 0.500 0.500
```

## Properties
Total magnetization (μB/cell): 0.0
Space-group type: P4/mmm
E_tot (eV/atom): -1.93
Density of states at the Fermi level (states/eV/f.u.): 8.25
Formation energy from the elements (meV/atom): -580


No. 5
The following is a DFT calculation (PBE) of SrHg2Bi2 after structural relaxation.

Cell and atoms, written as POSCAR:
```
SrHg2Bi2
1.0
-2.574 2.574 6.186
2.574 -2.574 6.186
2.574 2.574 -6.186
Sr Hg Bi
1 2 2
direct
0.000 0.000 0.000
0.390 0.390 0.000
0.610 0.610 0.000
0.250 0.750 0.500
0.750 0.250 0.500
```

## Properties
Total magnetization (μB/cell): 0.0
Space-group type: I4/mmm
E_tot (eV/atom): -2.26
Density of states at the Fermi level (states/eV/f.u.): 2.14
Formation energy from the elements (meV/atom): -252
Energy above the most stable polymorph in this dataset (meV per atom): 66


No. 6
The following is a DFT calculation (PBE) of Sr5Hg2Bi5 after structural relaxation.

Cell and atoms, written as POSCAR:
```
Sr5Hg2Bi5
1.0
8.905 -2.484 0.000
8.905 2.484 0.000
-7.791 0.000 9.617
Sr Hg Bi
5 2 5
direct
0.000 0.000 0.000
0.106 0.106 0.407
0.191 0.191 0.820
0.809 0.809 0.180
0.894 0.894 0.593
0.367 0.367 0.805
0.633 0.633 0.195
0.267 0.267 0.338
0.436 0.436 0.154
0.500 0.500 0.500
0.564 0.564 0.846
0.733 0.733 0.662
```

## Properties
Total magnetization (μB/cell): 0.0
Space-group type: C2/m
E_tot (eV/atom): -3.05
Density of states at the Fermi level (states/eV/f.u.): 3.33
Formation energy from the elements (meV/atom): -680